No. 1
A plane-wave DFT calculation with PBEsol was carried out for crystalline Bi12O16F5 at its relaxed geometry.

Cell: 26.406 3.735 10.324 Å, 90.00 101.93 90.00°
Space group C2 (No. 5)
Symmetry-distinct sites (fractional):
Bi: 0.059 0.000 0.233
Bi: 0.064 0.500 0.922
Bi: 0.067 0.000 0.598
Bi: 0.185 0.500 0.756
Bi: 0.189 0.000 0.067
Bi: 0.190 0.001 0.441
O: 0.028 0.000 0.771
O: 0.032 0.500 0.125
O: 0.097 0.500 0.712
O: 0.099 0.000 0.058
O: 0.156 0.000 0.629
O: 0.158 0.500 0.958
O: 0.224 0.000 0.886
O: 0.224 0.500 0.554
F: 0.000 0.500 0.500
F: 0.104 0.499 0.415
F: 0.189 0.500 0.267

Output
Energy (eV per atom): -5.865

No. 2
A plane-wave DFT calculation with PBEsol was carried out for crystalline BeP2PdO at its relaxed geometry.

Cell: 4.709 4.709 2.865 Å, 90.00 90.00 90.00°
Space group P4/mmm (No. 123)
Symmetry-distinct sites (fractional):
Be: 0.000 0.000 0.000
P: 0.000 0.500 0.000
Pd: 0.500 0.500 0.500
O: 0.000 0.000 0.500

Output
Energy (eV per atom): -5.513

No. 3
A plane-wave DFT calculation with PBEsol was carried out for crystalline CaHf2P at its relaxed geometry.

Cell: 4.082 4.082 20.300 Å, 90.00 90.00 90.00°
Space group I-42d (No. 122)
Symmetry-distinct sites (fractional):
Ca: 0.000 0.000 0.000
Hf: 0.226 0.250 0.625
P: 0.000 0.000 0.500

Output
ΔE_f (meV per atom): 126.9

No. 4
A plane-wave DFT calculation with PBEsol was carried out for crystalline LiOs2Au at its relaxed geometry.

Cell: 3.651 3.651 8.484 Å, 90.00 90.00 90.00°
Space group I4/mmm (No. 139)
Symmetry-distinct sites (fractional):
Li: 0.000 0.000 0.000
Os: 0.000 0.500 0.250
Au: 0.000 0.000 0.500

Output
ΔE_f (meV per atom): 492.9
Offset from the most stable computed form (kJ per mole of atoms): 29.52

No. 5
A plane-wave DFT calculation with PBEsol was carried out for crystalline LiMo2Cl at its relaxed geometry.

Cell: 3.003 4.886 9.119 Å, 90.00 90.00 90.00°
Space group Imm2 (No. 44)
Symmetry-distinct sites (fractional):
Li: 0.000 0.000 0.000
Mo: 0.000 0.000 0.478
Mo: 0.000 0.500 0.177
Cl: 0.000 0.500 0.739

Output
Offset from the most stable computed form (kJ per mole of atoms): 43.79

No. 6
A plane-wave DFT calculation with PBEsol was carried out for crystalline Sc2Rh at its relaxed geometry.

Cell: 3.303 14.248 4.678 Å, 90.00 90.00 90.00°
Space group Cmcm (No. 63)
Symmetry-distinct sites (fractional):
Sc: 0.000 0.075 0.250
Sc: 0.000 0.222 0.750
Rh: 0.000 0.423 0.250

Output
ΔE_f (meV per atom): -648.2